The following is a DFT calculation (PBE-GGA) of TaCoOs2 after structural relaxation.

The energy of formation from the pure elements comes out at 15.4 meV/atom.

The structure belongs to space group P4mm (No. 99); the cell edges are 2.741, 2.741 and 7.618 Å and the angles 90.00°, 90.00° and 90.00°. The distinct sites, in fractional coordinates, are Ta at (0.000, 0.000, 0.000), Co at (0.500, 0.500, 0.248), Os at (0.000, 0.000, 0.476) and Os at (0.500, 0.500, 0.716).

=====

The following is a DFT calculation (PBE-GGA) of TaCoOs2 after structural relaxation.

The energy of formation from the pure elements comes out at 25.1 meV/atom.

The structure belongs to space group Pmmm (No. 47); the cell edges are 2.865, 3.596 and 5.636 Å and the angles 90.00°, 90.00° and 90.00°. The distinct sites, in fractional coordinates, are Ta at (0.000, 0.000, 0.000), Co at (0.000, 0.000, 0.500) and Os at (0.500, 0.500, 0.274).

=====

The following is a DFT calculation (PBE-GGA) of Ta2CoOs after structural relaxation.

The energy of formation from the pure elements comes out at 56.7 meV/atom. As for the energy above the most stable polymorph in this dataset: 1.03 eV/f.u.

The structure belongs to space group Cmm2 (No. 35); the cell edges are 3.628, 4.144 and 8.180 Å and the angles 90.00°, 90.00° and 90.00°. The distinct sites, in fractional coordinates, are Ta at (0.000, 0.000, 0.000), Ta at (0.000, 0.500, 0.287), Co at (0.000, 0.000, 0.536) and Os at (0.000, 0.500, 0.731).

=====

The following is a DFT calculation (PBE-GGA) of Ta2CoOs after structural relaxation.

The energy of formation from the pure elements comes out at -90.7 meV/atom. As for the energy above the most stable polymorph in this dataset: 0.44 eV/f.u.

The structure belongs to space group P4mm (No. 99); the cell edges are 3.186, 3.186 and 6.106 Å and the angles 90.00°, 90.00° and 90.00°. The distinct sites, in fractional coordinates, are Ta at (0.000, 0.000, 0.000), Ta at (0.500, 0.500, 0.298), Co at (0.000, 0.000, 0.505) and Os at (0.500, 0.500, 0.765).

=====

The following energy values (in eV/atom) correspond, in order, to the records above: -10.339, -10.329, -10.453, -10.601.